Entry 1:
## Ti4AlAu (GGA-PBE)

Data for a relaxed structure of Ti4AlAu.

Distance to the lowest polymorph of the same formula: 0.000 eV per atom
Crystal system: orthorhombic
Total moment: 0.0 μB per formula unit
ΔH_f (0 K): -149 kJ/mol of formula units
Symmetry: Cmc2_1 (36)
D(E_F): 10.89 states/eV per cell

a b c (Å): 7.214 7.214 9.433
angles (deg): 90.00 90.00 155.51
Element x y z (fractional)
Ti 0.004 0.996 0.500
Ti 0.151 0.849 0.286
Ti 0.333 0.667 0.038
Ti 0.477 0.523 0.252
Ti 0.523 0.477 0.752
Ti 0.667 0.333 0.538
Ti 0.849 0.151 0.786
Ti 0.996 0.004 0.000
Al 0.184 0.816 0.805
Al 0.816 0.184 0.305
Au 0.340 0.660 0.541
Au 0.660 0.340 0.041

Entry 2:
## TiAl2Au2 (GGA-PBE)

Data for a relaxed structure of TiAl2Au2.

Distance to the lowest polymorph of the same formula: 0.000 eV per atom
Crystal system: tetragonal
Total moment: 1.5 μB per formula unit
ΔH_f (0 K): -133 kJ/mol of formula units
Symmetry: P4/mbm (127)
D(E_F): 5.89 states/eV per cell

a b c (Å): 7.501 7.501 3.004
angles (deg): 90.00 90.00 90.00
Element x y z (fractional)
Ti 0.000 0.000 0.000
Ti 0.500 0.500 0.000
Al 0.135 0.365 0.000
Al 0.365 0.865 0.000
Al 0.635 0.135 0.000
Al 0.865 0.635 0.000
Au 0.165 0.665 0.500
Au 0.335 0.165 0.500
Au 0.665 0.835 0.500
Au 0.835 0.335 0.500

Entry 3:
## Ti5AlAu (GGA-PBE)

Data for a relaxed structure of Ti5AlAu.

Crystal system: monoclinic
Total moment: 0.0 μB per formula unit
ΔH_f (0 K): 21 kJ/mol of formula units
Symmetry: C2/c (15)
D(E_F): 16.75 states/eV per cell

a b c (Å): 6.472 6.472 6.356
angles (deg): 102.91 102.91 101.60
Element x y z (fractional)
Ti 0.089 0.911 0.750
Ti 0.202 0.330 0.139
Ti 0.296 0.579 0.915
Ti 0.330 0.202 0.639
Ti 0.421 0.704 0.585
Ti 0.579 0.296 0.415
Ti 0.670 0.798 0.361
Ti 0.704 0.421 0.085
Ti 0.798 0.670 0.861
Ti 0.911 0.089 0.250
Al 0.175 0.825 0.250
Al 0.825 0.175 0.750
Au 0.000 0.500 0.500
Au 0.500 0.000 0.000

Entry 4:
## TiAlAu (GGA-PBE)

Data for a relaxed structure of TiAlAu.

Crystal system: orthorhombic
Total moment: 0.0 μB per formula unit
ΔH_f (0 K): -125 kJ/mol of formula units
Symmetry: Imm2 (44)
D(E_F): 2.84 states/eV per cell

a b c (Å): 2.960 2.971 11.246
angles (deg): 90.00 90.00 90.00
Element x y z (fractional)
Ti 0.000 0.000 0.000
Ti 0.500 0.500 0.500
Al 0.000 0.000 0.661
Al 0.500 0.500 0.161
Au 0.000 0.000 0.322
Au 0.500 0.500 0.822

Entry 5:
## TiAlAu (GGA-PBE)

Data for a relaxed structure of TiAlAu.

Crystal system: hexagonal
Total moment: 2.1 μB per formula unit
ΔH_f (0 K): 219 kJ/mol of formula units
Symmetry: P6_3/mmc (194)
D(E_F): 8.82 states/eV per cell

a b c (Å): 4.136 4.136 10.380
angles (deg): 90.00 90.00 120.00
Element x y z (fractional)
Ti 0.000 0.000 0.000
Ti 0.000 0.000 0.500
Al 0.000 0.000 0.250
Al 0.000 0.000 0.750
Au 0.333 0.667 0.250
Au 0.667 0.333 0.750

Entry 6:
## Ti2Al4Au (GGA-PBE)

Data for a relaxed structure of Ti2Al4Au.

Crystal system: tetragonal
Total moment: 0.0 μB per formula unit
ΔH_f (0 K): 272 kJ/mol of formula units
Symmetry: I4/mmm (139)
D(E_F): 9.90 states/eV per cell

a b c (Å): 4.892 4.892 13.053
angles (deg): 90.00 90.00 90.00
Element x y z (fractional)
Ti 0.000 0.000 0.098
Ti 0.000 0.000 0.902
Ti 0.500 0.500 0.402
Ti 0.500 0.500 0.598
Al 0.000 0.000 0.304
Al 0.000 0.000 0.696
Al 0.000 0.500 0.000
Al 0.000 0.500 0.500
Al 0.500 0.000 0.000
Al 0.500 0.000 0.500
Al 0.500 0.500 0.196
Al 0.500 0.500 0.804
Au 0.000 0.000 0.500
Au 0.500 0.500 0.000

Entry 7:
## TiAlAu6 (GGA-PBE)

Data for a relaxed structure of TiAlAu6.

Crystal system: monoclinic
Total moment: 0.0 μB per formula unit
ΔH_f (0 K): -196 kJ/mol of formula units
Symmetry: C2/m (12)
D(E_F): 5.53 states/eV per cell

a b c (Å): 9.117 4.257 7.866
angles (deg): 90.00 114.96 90.00
Element x y z (fractional)
Ti 0.000 0.000 0.000
Ti 0.500 0.500 0.000
Al 0.000 0.000 0.500
Al 0.500 0.500 0.500
Au 0.007 0.500 0.744
Au 0.231 0.000 0.370
Au 0.247 0.500 0.126
Au 0.253 0.000 0.874
Au 0.269 0.500 0.630
Au 0.493 0.000 0.256
Au 0.507 0.000 0.744
Au 0.731 0.500 0.370
Au 0.747 0.000 0.126
Au 0.753 0.500 0.874
Au 0.769 0.000 0.630
Au 0.993 0.500 0.256

Entry 8:
## TiAlAu (GGA-PBE)

Data for a relaxed structure of TiAlAu.

Crystal system: hexagonal
Total moment: 0.0 μB per formula unit
ΔH_f (0 K): -131 kJ/mol of formula units
Symmetry: P-6m2 (187)
D(E_F): 2.80 states/eV per cell

a b c (Å): 4.405 4.405 2.997
angles (deg): 90.00 90.00 120.00
Element x y z (fractional)
Ti 0.000 0.000 0.000
Al 0.333 0.667 0.500
Au 0.667 0.333 0.500

Entry 9:
## TiAl2Au (GGA-PBE)

Data for a relaxed structure of TiAl2Au.

Crystal system: tetragonal
Total moment: 0.0 μB per formula unit
ΔH_f (0 K): -36 kJ/mol of formula units
Symmetry: I-42d (122)
D(E_F): 15.41 states/eV per cell

a b c (Å): 7.227 7.227 5.557
angles (deg): 90.00 90.00 90.00
Element x y z (fractional)
Ti 0.000 0.000 0.000
Ti 0.000 0.500 0.250
Ti 0.500 0.000 0.750
Ti 0.500 0.500 0.500
Al 0.225 0.250 0.625
Al 0.250 0.725 0.875
Al 0.250 0.775 0.375
Al 0.275 0.250 0.125
Al 0.725 0.750 0.125
Al 0.750 0.225 0.375
Al 0.750 0.275 0.875
Al 0.775 0.750 0.625
Au 0.000 0.000 0.500
Au 0.000 0.500 0.750
Au 0.500 0.000 0.250
Au 0.500 0.500 0.000

Entry 10:
## TiAlAu (GGA-PBE)

Data for a relaxed structure of TiAlAu.

Crystal system: triclinic
Total moment: 0.0 μB per formula unit
ΔH_f (0 K): -121 kJ/mol of formula units
Symmetry: P-1 (2)
D(E_F): 4.56 states/eV per cell

a b c (Å): 3.049 5.494 6.352
angles (deg): 104.51 103.84 90.08
Element x y z (fractional)
Ti 0.002 0.259 0.003
Ti 0.998 0.741 0.997
Al 0.333 0.396 0.666
Al 0.667 0.604 0.334
Au 0.337 0.897 0.673
Au 0.663 0.103 0.327

Entry 11:
## Ti2Al3Au (GGA-PBE)

Data for a relaxed structure of Ti2Al3Au.

Crystal system: hexagonal
Total moment: 0.0 μB per formula unit
ΔH_f (0 K): -74 kJ/mol of formula units
Symmetry: P6/mmm (191)
D(E_F): 10.59 states/eV per cell

a b c (Å): 5.233 5.233 8.935
angles (deg): 90.00 90.00 120.00
Element x y z (fractional)
Ti 0.000 0.000 0.000
Ti 0.000 0.000 0.500
Ti 0.333 0.667 0.000
Ti 0.667 0.333 0.000
Al 0.000 0.500 0.248
Al 0.000 0.500 0.752
Al 0.500 0.000 0.248
Al 0.500 0.000 0.752
Al 0.500 0.500 0.248
Al 0.500 0.500 0.752
Au 0.333 0.667 0.500
Au 0.667 0.333 0.500

Entry 12:
## TiAlAu (GGA-PBE)

Data for a relaxed structure of TiAlAu.

Crystal system: monoclinic
Total moment: 0.0 μB per formula unit
ΔH_f (0 K): -120 kJ/mol of formula units
Symmetry: Pm (6)
D(E_F): 5.06 states/eV per cell

a b c (Å): 3.838 4.042 6.679
angles (deg): 90.00 106.64 90.00
Element x y z (fractional)
Ti 0.000 0.000 0.000
Ti 0.332 0.000 0.665
Al 0.167 0.500 0.333
Al 0.837 0.500 0.675
Au 0.497 0.500 0.995
Au 0.669 0.000 0.336

Entry 13:
## TiAl2Au (GGA-PBE)

Data for a relaxed structure of TiAl2Au.

Crystal system: tetragonal
Total moment: 0.0 μB per formula unit
ΔH_f (0 K): -138 kJ/mol of formula units
Symmetry: P4/mmm (123)
D(E_F): 2.42 states/eV per cell

a b c (Å): 3.023 3.023 7.156
angles (deg): 90.00 90.00 90.00
Element x y z (fractional)
Ti 0.000 0.000 0.000
Al 0.500 0.500 0.253
Al 0.500 0.500 0.747
Au 0.000 0.000 0.500

Entry 14:
## Ti4Al3Au (GGA-PBE)

Data for a relaxed structure of Ti4Al3Au.

Crystal system: orthorhombic
Total moment: 0.0 μB per formula unit
ΔH_f (0 K): -94 kJ/mol of formula units
Symmetry: Immm (71)
D(E_F): 16.81 states/eV per cell

a b c (Å): 2.835 4.136 24.273
angles (deg): 90.00 90.00 90.00
Element x y z (fractional)
Ti 0.000 0.000 0.104
Ti 0.000 0.000 0.219
Ti 0.000 0.000 0.781
Ti 0.000 0.000 0.896
Ti 0.500 0.500 0.281
Ti 0.500 0.500 0.396
Ti 0.500 0.500 0.604
Ti 0.500 0.500 0.719
Al 0.000 0.000 0.338
Al 0.000 0.000 0.662
Al 0.000 0.500 0.000
Al 0.500 0.000 0.500
Al 0.500 0.500 0.162
Al 0.500 0.500 0.838
Au 0.000 0.500 0.500
Au 0.500 0.000 0.000

Entry 15:
## TiAlAu (GGA-PBE)

Data for a relaxed structure of TiAlAu.

Crystal system: hexagonal
Total moment: 0.0 μB per formula unit
ΔH_f (0 K): -115 kJ/mol of formula units
Symmetry: P6/mmm (191)
D(E_F): 4.61 states/eV per cell

a b c (Å): 4.632 4.632 5.355
angles (deg): 90.00 90.00 120.00
Element x y z (fractional)
Ti 0.000 0.000 0.246
Ti 0.000 0.000 0.754
Al 0.333 0.667 0.000
Al 0.667 0.333 0.000
Au 0.333 0.667 0.500
Au 0.667 0.333 0.500

Entry 16:
## TiAlAu4 (GGA-PBE)

Data for a relaxed structure of TiAlAu4.

Distance to the lowest polymorph of the same formula: 0.211 eV per atom
Crystal system: tetragonal
Total moment: 0.0 μB per formula unit
ΔH_f (0 K): -98 kJ/mol of formula units
Symmetry: P4/mmm (123)
D(E_F): 3.09 states/eV per cell

a b c (Å): 4.415 4.415 6.049
angles (deg): 90.00 90.00 90.00
Element x y z (fractional)
Ti 0.000 0.000 0.000
Al 0.500 0.500 0.500
Au 0.000 0.500 0.257
Au 0.000 0.500 0.743
Au 0.500 0.000 0.257
Au 0.500 0.000 0.743

Entry 17:
## TiAl2Au4 (GGA-PBE)

Data for a relaxed structure of TiAl2Au4.

Crystal system: orthorhombic
Total moment: 0.4 μB per formula unit
ΔH_f (0 K): -202 kJ/mol of formula units
Symmetry: Cmcm (63)
D(E_F): 8.43 states/eV per cell

a b c (Å): 4.548 4.548 13.428
angles (deg): 90.00 90.00 119.93
Element x y z (fractional)
Ti 0.001 0.999 0.750
Ti 0.999 0.001 0.250
Al 0.334 0.666 0.561
Al 0.334 0.666 0.939
Al 0.666 0.334 0.061
Al 0.666 0.334 0.439
Au 0.000 0.000 0.000
Au 0.000 0.000 0.500
Au 0.332 0.668 0.135
Au 0.332 0.668 0.365
Au 0.335 0.665 0.750
Au 0.665 0.335 0.250
Au 0.668 0.332 0.635
Au 0.668 0.332 0.865

Entry 18:
## TiAlAu (GGA-PBE)

Data for a relaxed structure of TiAlAu.

Crystal system: orthorhombic
Total moment: 0.0 μB per formula unit
ΔH_f (0 K): -136 kJ/mol of formula units
Symmetry: Immm (71)
D(E_F): 11.03 states/eV per cell

a b c (Å): 4.439 5.605 7.944
angles (deg): 90.00 90.00 90.00
Element x y z (fractional)
Ti 0.000 0.247 0.000
Ti 0.000 0.753 0.000
Ti 0.500 0.253 0.500
Ti 0.500 0.747 0.500
Al 0.000 0.500 0.336
Al 0.000 0.500 0.664
Al 0.500 0.000 0.164
Al 0.500 0.000 0.836
Au 0.000 0.000 0.328
Au 0.000 0.000 0.672
Au 0.500 0.500 0.172
Au 0.500 0.500 0.828

Entry 19:
## TiAl2Au6 (GGA-PBE)

Data for a relaxed structure of TiAl2Au6.

Distance to the lowest polymorph of the same formula: 0.012 eV per atom
Crystal system: monoclinic
Total moment: 0.0 μB per formula unit
ΔH_f (0 K): -235 kJ/mol of formula units
Symmetry: C2/c (15)
D(E_F): 9.96 states/eV per cell

a b c (Å): 9.201 9.201 4.370
angles (deg): 96.74 96.74 60.21
Element x y z (fractional)
Ti 0.139 0.861 0.750
Ti 0.861 0.139 0.250
Al 0.181 0.490 0.901
Al 0.490 0.181 0.401
Al 0.510 0.819 0.599
Al 0.819 0.510 0.099
Au 0.005 0.785 0.194
Au 0.134 0.350 0.357
Au 0.215 0.995 0.306
Au 0.324 0.541 0.465
Au 0.350 0.134 0.857
Au 0.459 0.676 0.035
Au 0.541 0.324 0.965
Au 0.650 0.866 0.143
Au 0.676 0.459 0.535
Au 0.785 0.005 0.694
Au 0.866 0.650 0.643
Au 0.995 0.215 0.806

Entry 20:
## Ti3Al3Au2 (GGA-PBE)

Data for a relaxed structure of Ti3Al3Au2.

Distance to the lowest polymorph of the same formula: 0.047 eV per atom
Crystal system: orthorhombic
Total moment: 0.0 μB per formula unit
ΔH_f (0 K): -316 kJ/mol of formula units
Symmetry: Immm (71)
D(E_F): 12.84 states/eV per cell

a b c (Å): 4.173 4.188 15.138
angles (deg): 90.00 90.00 90.00
Element x y z (fractional)
Ti 0.000 0.000 0.000
Ti 0.000 0.500 0.376
Ti 0.000 0.500 0.624
Ti 0.500 0.000 0.124
Ti 0.500 0.000 0.876
Ti 0.500 0.500 0.500
Al 0.000 0.000 0.500
Al 0.000 0.500 0.128
Al 0.000 0.500 0.872
Al 0.500 0.000 0.372
Al 0.500 0.000 0.628
Al 0.500 0.500 0.000
Au 0.000 0.000 0.246
Au 0.000 0.000 0.754
Au 0.500 0.500 0.254
Au 0.500 0.500 0.746

Entry 21:
## TiAlAu3 (GGA-PBE)

Data for a relaxed structure of TiAlAu3.

Distance to the lowest polymorph of the same formula: 0.997 eV per atom
Crystal system: cubic
Total moment: 1.1 μB per formula unit
ΔH_f (0 K): 306 kJ/mol of formula units
Symmetry: Pm-3m (221)
D(E_F): 3.04 states/eV per cell

a b c (Å): 5.038 5.038 5.038
angles (deg): 90.00 90.00 90.00
Element x y z (fractional)
Ti 0.000 0.000 0.000
Al 0.500 0.500 0.500
Au 0.000 0.000 0.500
Au 0.000 0.500 0.000
Au 0.500 0.000 0.000

Entry 22:
## Ti2Al2Au3 (GGA-PBE)

Data for a relaxed structure of Ti2Al2Au3.

Crystal system: monoclinic
Total moment: 0.0 μB per formula unit
ΔH_f (0 K): -224 kJ/mol of formula units
Symmetry: C2/m (12)
D(E_F): 11.41 states/eV per cell

a b c (Å): 9.266 3.897 6.561
angles (deg): 90.00 94.26 90.00
Element x y z (fractional)
Ti 0.137 0.000 0.439
Ti 0.363 0.500 0.561
Ti 0.637 0.500 0.439
Ti 0.863 0.000 0.561
Al 0.073 0.500 0.731
Al 0.427 0.000 0.269
Al 0.573 0.000 0.731
Al 0.927 0.500 0.269
Au 0.000 0.000 0.000
Au 0.216 0.500 0.168
Au 0.284 0.000 0.832
Au 0.500 0.500 0.000
Au 0.716 0.000 0.168
Au 0.784 0.500 0.832

Entry 23:
## TiAl2Au6 (GGA-PBE)

Data for a relaxed structure of TiAl2Au6.

Distance to the lowest polymorph of the same formula: 0.000 eV per atom
Crystal system: monoclinic
Total moment: 0.0 μB per formula unit
ΔH_f (0 K): -245 kJ/mol of formula units
Symmetry: C2/c (15)
D(E_F): 9.41 states/eV per cell

a b c (Å): 7.038 7.038 7.455
angles (deg): 111.83 111.83 86.12
Element x y z (fractional)
Ti 0.099 0.901 0.750
Ti 0.901 0.099 0.250
Al 0.264 0.530 0.951
Al 0.470 0.736 0.549
Al 0.530 0.264 0.451
Al 0.736 0.470 0.049
Au 0.054 0.739 0.331
Au 0.102 0.314 0.107
Au 0.228 0.478 0.558
Au 0.261 0.946 0.169
Au 0.314 0.102 0.607
Au 0.478 0.228 0.058
Au 0.522 0.772 0.942
Au 0.686 0.898 0.393
Au 0.739 0.054 0.831
Au 0.772 0.522 0.442
Au 0.898 0.686 0.893
Au 0.946 0.261 0.669